## Cs3PPb4 (GGA-PBE)

Data for an optimized crystal structure of Cs3PPb4.

a = 6.757 Å, b = 7.176 Å, c = 14.297 Å
α = 90.00°, β = 90.00°, γ = 90.00°
Positions (direct):
Cs (0.537, 0.000, 0.000)
Cs (0.463, 0.500, 0.500)
Cs (0.817, 0.500, 0.756)
Cs (0.817, 0.500, 0.244)
Cs (0.183, 0.000, 0.744)
Cs (0.183, 0.000, 0.256)
P (0.661, 0.500, 0.000)
P (0.339, 0.000, 0.500)
Pb (0.330, 0.500, 0.878)
Pb (0.330, 0.500, 0.122)
Pb (0.021, 0.262, 0.000)
Pb (0.021, 0.738, 0.000)
Pb (0.979, 0.762, 0.500)
Pb (0.979, 0.238, 0.500)
Pb (0.670, 0.000, 0.378)
Pb (0.670, 0.000, 0.622)

Calculated values
E (eV per atom): -3.0211
DOS at the Fermi energy (states/eV per cell): 2.85
Size of the total moment (μB/cell): 0.000
ΔE_f (eV per atom): -0.171

=====

## Cs2P2Pb (GGA-PBE)

Data for an optimized crystal structure of Cs2P2Pb.

a = 7.603 Å, b = 7.603 Å, c = 5.899 Å
α = 90.00°, β = 90.00°, γ = 90.00°
Positions (direct):
Pb (0.000, 0.000, 0.000)
Pb (0.500, 0.500, 0.000)
Cs (0.186, 0.686, 0.500)
Cs (0.686, 0.814, 0.500)
Cs (0.814, 0.314, 0.500)
Cs (0.314, 0.186, 0.500)
P (0.401, 0.901, 0.000)
P (0.901, 0.599, 0.000)
P (0.599, 0.099, 0.000)
P (0.099, 0.401, 0.000)

Calculated values
E (eV per atom): -3.4275
DOS at the Fermi energy (states/eV per cell): 4.08
Size of the total moment (μB/cell): 0.000
ΔE_f (eV per atom): -0.180

=====

## Cs2PPdPb (GGA-PBE)

Data for an optimized crystal structure of Cs2PPdPb.

a = 7.159 Å, b = 4.385 Å, c = 7.159 Å
α = 90.00°, β = 90.00°, γ = 90.00°
Positions (direct):
Pb (0.500, 0.500, 0.500)
Cs (0.000, 0.000, 0.500)
Cs (0.500, 0.000, 0.000)
Pd (0.000, 0.500, 0.000)
P (0.000, 0.000, 0.000)

Calculated values
E (eV per atom): -3.1757
DOS at the Fermi energy (states/eV per cell): 1.84
Size of the total moment (μB/cell): 1.821
ΔE_f (eV per atom): 0.028